Zn2SbPt at its PBEsol-relaxed geometry. Source: the Alexandria database, functional meta-GGA SCAN.

Calculated values
Crystal system   tetragonal
Theoretical density   10489 kg/m³
E_tot   -33.733 eV/atom

a = 2.934 Å, b = 2.934 Å, c = 8.232 Å
α = 90.00°, β = 90.00°, γ = 90.01°
Fractional coordinates of all 4 atoms:
1 Pt 0.500 0.500 0.500
2 Sb 0.500 0.500 0.000
3 Zn 0.000 0.000 0.302
4 Zn 0.000 0.000 0.698



Mn2NiCl at its PBEsol-relaxed geometry. Source: the Alexandria database, functional meta-GGA SCAN.

Calculated values
Crystal system   tetragonal
Excess energy over the best structure of this formula in the dataset   0.0 kJ/mol of atoms
Theoretical density   6302 kg/m³

a = 2.966 Å, b = 2.966 Å, c = 6.110 Å
α = 90.00°, β = 90.00°, γ = 90.00°
Fractional coordinates of all 4 atoms:
1 Cl 0.500 0.500 0.766
2 Mn 0.000 0.000 0.031
3 Mn 0.500 0.500 0.251
4 Ni 0.000 0.000 0.452



In2TeMo at its PBEsol-relaxed geometry. Source: the Alexandria database, functional meta-GGA SCAN.

Calculated values
Crystal system   cubic
Theoretical density   8717 kg/m³
E_tot   -34.117 eV/atom

a = 4.961 Å, b = 4.961 Å, c = 4.961 Å
α = 60.00°, β = 60.00°, γ = 60.00°
Fractional coordinates of all 4 atoms:
1 In 0.000 0.000 0.000
2 In 0.250 0.250 0.250
3 Mo 0.500 0.500 0.500
4 Te 0.750 0.750 0.750



BIr2Br at its PBEsol-relaxed geometry. Source: the Alexandria database, functional meta-GGA SCAN.

Calculated values
Crystal system   cubic
Theoretical density   14784 kg/m³
E_tot   -40.723 eV/atom

a = 4.226 Å, b = 4.226 Å, c = 4.226 Å
α = 60.00°, β = 60.00°, γ = 60.00°
Fractional coordinates of all 4 atoms:
1 B 0.000 0.000 0.000
2 Ir 0.250 0.250 0.250
3 Ir 0.750 0.750 0.750
4 Br 0.500 0.500 0.500



Sr3OsAu at its PBEsol-relaxed geometry. Source: the Alexandria database, functional meta-GGA SCAN.

Calculated values
Crystal system   cubic
Formation enthalpy at 0 K   0.669 eV/atom
Theoretical density   5867 kg/m³

a = 5.688 Å, b = 5.688 Å, c = 5.688 Å
α = 90.00°, β = 90.00°, γ = 90.00°
Fractional coordinates of all 5 atoms:
1 Os 0.500 0.500 0.500
2 Au 0.000 0.000 0.000
3 Sr 0.000 0.500 0.000
4 Sr 0.000 0.000 0.500
5 Sr 0.500 0.000 0.000



KTl3 at its PBEsol-relaxed geometry. Source: the Alexandria database, functional meta-GGA SCAN.

Calculated values
Crystal system   hexagonal
Formation enthalpy at 0 K   -0.099 eV/atom
Theoretical density   9074 kg/m³

a = 7.037 Å, b = 7.037 Å, c = 16.702 Å
α = 90.00°, β = 90.00°, γ = 120.00°
Fractional coordinates of all 24 atoms:
1 K 0.000 0.000 0.250
2 K 0.000 0.000 0.750
3 K 0.333 0.667 0.592
4 K 0.333 0.667 0.908
5 K 0.667 0.333 0.092
6 K 0.667 0.333 0.408
7 Tl 0.487 0.513 0.250
8 Tl 0.025 0.513 0.250
9 Tl 0.487 0.975 0.250
10 Tl 0.513 0.487 0.750
11 Tl 0.975 0.487 0.750
12 Tl 0.513 0.025 0.750
13 Tl 0.169 0.831 0.081
14 Tl 0.662 0.831 0.081
15 Tl 0.169 0.338 0.081
16 Tl 0.169 0.831 0.419
17 Tl 0.662 0.831 0.419
18 Tl 0.169 0.338 0.419
19 Tl 0.831 0.169 0.919
20 Tl 0.338 0.169 0.919
21 Tl 0.831 0.662 0.919
22 Tl 0.831 0.169 0.581
23 Tl 0.338 0.169 0.581
24 Tl 0.831 0.662 0.581



TiGaTeN2 at its PBEsol-relaxed geometry. Source: the Alexandria database, functional meta-GGA SCAN.

Calculated values
Crystal system   tetragonal
Theoretical density   5279 kg/m³
E_tot   -17.427 eV/atom

a = 3.893 Å, b = 3.893 Å, c = 5.671 Å
α = 90.00°, β = 90.00°, γ = 90.00°
Fractional coordinates of all 5 atoms:
1 N 0.000 0.500 0.000
2 N 0.500 0.000 0.000
3 Te 0.000 0.000 0.500
4 Ga 0.500 0.500 0.500
5 Ti 0.000 0.000 0.000



KLiPb2 at its PBEsol-relaxed geometry. Source: the Alexandria database, functional meta-GGA SCAN.

Calculated values
Crystal system   tetragonal
Formation enthalpy at 0 K   -0.170 eV/atom
Excess energy over the best structure of this formula in the dataset   18.0 kJ/mol of atoms
Theoretical density   6593 kg/m³

a = 4.729 Å, b = 4.729 Å, c = 5.187 Å
α = 90.00°, β = 90.00°, γ = 90.00°
Fractional coordinates of all 4 atoms:
1 K 0.500 0.500 0.500
2 Li 0.000 0.000 0.500
3 Pb 0.000 0.500 0.000
4 Pb 0.500 0.000 0.000



La3LuSe6 at its PBEsol-relaxed geometry. Source: the Alexandria database, functional meta-GGA SCAN.

Calculated values
Crystal system   orthorhombic
Theoretical density   6761 kg/m³
E_tot   -32.781 eV/atom

a = 4.129 Å, b = 14.522 Å, c = 17.456 Å
α = 90.00°, β = 90.00°, γ = 90.00°
Fractional coordinates of all 40 atoms:
1 La 0.000 0.251 0.400
2 La 0.500 0.249 0.900
3 La 0.000 0.950 0.782
4 La 0.500 0.320 0.151
5 La 0.000 0.749 0.600
6 La 0.500 0.751 0.100
7 La 0.500 0.450 0.718
8 La 0.000 0.050 0.218
9 La 0.000 0.180 0.651
10 La 0.500 0.550 0.282
11 La 0.500 0.680 0.849
12 La 0.000 0.820 0.349
13 Lu 0.000 0.500 0.000
14 Lu 0.000 0.500 0.500
15 Lu 0.500 0.000 0.500
16 Lu 0.500 0.000 0.000
17 Se 0.000 0.314 0.790
18 Se 0.500 0.591 0.578
19 Se 0.500 0.186 0.290
20 Se 0.500 0.814 0.710
21 Se 0.000 0.603 0.744
22 Se 0.500 0.409 0.422
23 Se 0.000 0.091 0.922
24 Se 0.500 0.103 0.756
25 Se 0.000 0.373 0.609
26 Se 0.500 0.873 0.891
27 Se 0.000 0.686 0.210
28 Se 0.000 0.627 0.391
29 Se 0.500 0.897 0.244
30 Se 0.000 0.688 0.977
31 Se 0.000 0.397 0.256
32 Se 0.500 0.812 0.477
33 Se 0.000 0.975 0.605
34 Se 0.500 0.475 0.895
35 Se 0.000 0.025 0.395
36 Se 0.500 0.127 0.109
37 Se 0.000 0.312 0.023
38 Se 0.500 0.188 0.523
39 Se 0.500 0.525 0.105
40 Se 0.000 0.909 0.078



MgSiSnW2 at its PBEsol-relaxed geometry. Source: the Alexandria database, functional meta-GGA SCAN.

Calculated values
Crystal system   tetragonal
Theoretical density   8712 kg/m³
E_tot   -35.458 eV/atom

a = 4.685 Å, b = 4.685 Å, c = 4.678 Å
α = 90.00°, β = 90.00°, γ = 90.00°
Fractional coordinates of all 5 atoms:
1 Mg 0.000 0.000 0.000
2 Si 0.500 0.500 0.500
3 Sn 0.000 0.000 0.500
4 W 0.000 0.500 0.000
5 W 0.500 0.000 0.000



no.,total magnetization (μB/cell)
1,0.00
2,0.84
3,2.72
4,0.00
5,1.94
6,0.00
7,0.00
8,0.00
9,0.00
10,2.90